A plane-wave DFT calculation with PBE was carried out for crystalline Ba2PdBr at its relaxed geometry.

Cell: 3.9445 3.9445 8.5821 Å, 90.00 90.00 90.00°
Closest atoms and distances in Å follow each position.
Fractional positions:
Ba 0.0000 0.0000 0.2206  4 Pd 3.37, 4 Br 3.68
Ba 0.0000 0.0000 0.7794  4 Pd 3.37, 4 Br 3.68
Pd 0.5000 0.5000 0.0000  8 Ba 3.37
Br 0.5000 0.5000 0.5000  8 Ba 3.68, 4 Br 3.94

Calculated values
space-group type: P4/mmm (123)
E above lowest polymorph: 95 meV/atom
ΔE_f (raw): -1.03 eV/atom